Density functional theory data (GGA-PBE) for a relaxed structure of Rb2DyZnF6.

Crystal system = orthorhombic
Formation energy (no corrections) = -2.934 eV/atom
E_tot = -96.765 eV per cell

abc: 6.477 6.474 9.159
angles: 90.00 90.00 90.00
Each line ends with the local moment (μB).
Fractional positions:
Rb1 0.500 0.751 0.250  0.01
Rb2 0.000 0.249 0.750  0.01
Rb3 0.500 0.751 0.750  0.01
Rb4 0.000 0.249 0.250  0.01
Dy1 0.000 0.749 0.500  0.05
Dy2 0.500 0.251 0.000  0.05
Zn1 0.500 0.250 0.500  0.37
Zn2 0.000 0.750 0.000  0.37
F1 0.500 0.251 0.239  0.03
F2 0.500 0.251 0.761  0.03
F3 0.000 0.749 0.261  0.03
F4 0.000 0.749 0.739  0.03
F5 0.238 0.987 0.500  0.03
F6 0.762 0.987 0.500  0.03
F7 0.238 0.510 0.500  0.03
F8 0.762 0.510 0.500  0.03
F9 0.738 0.490 0.000  0.03
F10 0.262 0.490 0.000  0.03
F11 0.262 0.013 0.000  0.03
F12 0.738 0.013 0.000  0.03